# PF, relaxed, DFT PBE
data_PF
_cell_length_a 5.0894
_cell_length_b 5.0894
_cell_length_c 4.7910
_cell_angle_alpha 90.00
_cell_angle_beta 90.00
_cell_angle_gamma 149.35
_space_group_name_H-M_alt 'P 1'
_space_group_IT_number 1
loop_
_space_group_symop_operation_xyz
'x,y,z'
loop_
_atom_site_label
_atom_site_fract_x
_atom_site_fract_y
_atom_site_fract_z
_atom_site_occupancy
P1 0.0043 0.9957 0.7500 1
P2 0.9957 0.0043 0.2500 1
F1 0.1697 0.8303 0.7500 1
F2 0.8303 0.1697 0.2500 1
# energy relative to the lowest polymorph listed for this composition: 0.150 eV/atom
# E_form (uncorrected): -1.16 eV/atom
# calculated volume: 15.81 A^3/atom

# PF, relaxed, DFT PBE
data_PF
_cell_length_a 3.7138
_cell_length_b 3.7138
_cell_length_c 3.7138
_cell_angle_alpha 60.00
_cell_angle_beta 60.00
_cell_angle_gamma 60.00
_space_group_name_H-M_alt 'P 1'
_space_group_IT_number 1
loop_
_space_group_symop_operation_xyz
'x,y,z'
loop_
_atom_site_label
_atom_site_fract_x
_atom_site_fract_y
_atom_site_fract_z
_atom_site_occupancy
P1 0.0000 0.0000 0.0000 1
F1 0.2500 0.2500 0.2500 1
# energy relative to the lowest polymorph listed for this composition: 1.772 eV/atom
# E_form (uncorrected): 0.47 eV/atom
# calculated volume: 18.11 A^3/atom

# PF, relaxed, DFT PBE
data_PF
_cell_length_a 9.8671
_cell_length_b 9.8671
_cell_length_c 2.4484
_cell_angle_alpha 90.00
_cell_angle_beta 90.00
_cell_angle_gamma 120.00
_space_group_name_H-M_alt 'P 1'
_space_group_IT_number 1
loop_
_space_group_symop_operation_xyz
'x,y,z'
loop_
_atom_site_label
_atom_site_fract_x
_atom_site_fract_y
_atom_site_fract_z
_atom_site_occupancy
P1 0.1406 0.3115 0.2500 1
P2 0.1708 0.8594 0.2500 1
P3 0.3115 0.1708 0.7500 1
P4 0.6885 0.8292 0.2500 1
P5 0.8292 0.1406 0.7500 1
P6 0.8594 0.6885 0.7500 1
F1 0.1440 0.4779 0.2500 1
F2 0.3339 0.8560 0.2500 1
F3 0.4779 0.3339 0.7500 1
F4 0.5221 0.6661 0.2500 1
F5 0.6661 0.1440 0.7500 1
F6 0.8560 0.5221 0.7500 1
# energy relative to the lowest polymorph listed for this composition: 0.390 eV/atom
# E_form (uncorrected): -0.92 eV/atom
# calculated volume: 17.20 A^3/atom

# PF, relaxed, DFT PBE
data_PF
_cell_length_a 2.7707
_cell_length_b 2.7707
_cell_length_c 8.9745
_cell_angle_alpha 90.00
_cell_angle_beta 90.00
_cell_angle_gamma 120.00
_space_group_name_H-M_alt 'P 1'
_space_group_IT_number 1
loop_
_space_group_symop_operation_xyz
'x,y,z'
loop_
_atom_site_label
_atom_site_fract_x
_atom_site_fract_y
_atom_site_fract_z
_atom_site_occupancy
P1 0.3333 0.6667 0.0000 1
P2 0.6667 0.3333 0.5000 1
F1 0.3333 0.6667 0.8172 1
F2 0.6667 0.3333 0.3172 1
# energy relative to the lowest polymorph listed for this composition: 0.320 eV/atom
# E_form (uncorrected): -0.99 eV/atom
# calculated volume: 14.92 A^3/atom